Material: CsSr2As2
Method: DFT, PBE
State: relaxed

a b c (Å): 9.2872 9.2872 3.6914
angles (deg): 90.00 90.00 90.00
With the nearest neighbours (Å) after each atom.
Sites, in units of the cell vectors:
Cs  0.0000  0.0000  0.0000  4 Sr 3.63, 2 Cs 3.69, 8 As 3.93
Cs  0.5000  0.5000  0.0000  4 Sr 3.63, 2 Cs 3.69, 8 As 3.93
Sr  0.1328  0.3672  0.0000  6 As 3.25-3.32, 1 Sr 3.49, 2 Cs 3.63
Sr  0.3672  0.8672  0.0000  6 As 3.25-3.32, 1 Sr 3.49, 2 Cs 3.63
Sr  0.6328  0.1328  0.0000  6 As 3.25-3.32, 1 Sr 3.49, 2 Cs 3.63
Sr  0.8672  0.6328  0.0000  6 As 3.25-3.32, 1 Sr 3.49, 2 Cs 3.63
As  0.1634  0.6634  0.5000  6 Sr 3.25-3.32
As  0.3366  0.1634  0.5000  6 Sr 3.25-3.32
As  0.6634  0.8366  0.5000  6 Sr 3.25-3.32
As  0.8366  0.3366  0.5000  6 Sr 3.25-3.32

- Space group: P4/mbm (127)
- Calculated volume: 318 Å³/cell
- ρ: 4777 kg/m3
- Polymorph energy (0 for the lowest one): 0 meV/atom
- DFT formation energy: -0.780 eV per atom
- Raw total energy: -3.48 eV/atom